No. 1
{"formula": "CrOsRu2", "functional": "PBE", "state": "optimized geometry", "ef_ev_per_fu": 0.44, "space_group": "P2/m (10)", "relative_energy_mev_per_atom": 27, "dos_at_fermi_per_ev_fu": 4.55, "cell": [[-2.381, -2.880, 0.436], [2.051, -1.581, 0.756], [1.274, -0.166, 5.869]], "species": ["Cr", "Os", "Ru", "Ru"], "fractional_positions": [[0.500, 0.250, 0.250], [0.500, 0.750, 0.750], [0.000, 0.993, 0.007], [0.000, 0.507, 0.493]]}

No. 2
{"formula": "CrOsRu", "functional": "PBE", "state": "optimized geometry", "ef_ev_per_fu": 0.40, "space_group": "I4mm (107)", "relative_energy_mev_per_atom": 38, "dos_at_fermi_per_ev_fu": 4.20, "cell": [[5.897, -0.010, 0.000], [4.678, 3.590, 0.000], [-5.287, -1.790, 1.901]], "species": ["Cr", "Os", "Ru"], "fractional_positions": [[0.000, 0.000, 0.000], [0.339, 0.339, 0.000], [0.662, 0.662, 0.000]]}

No. 3
{"formula": "CrSnOsRu", "functional": "PBE", "state": "optimized geometry", "ef_ev_per_fu": 0.39, "space_group": "F-43m (216)", "dos_at_fermi_per_ev_fu": 1.63, "cell": [[4.416, 0.000, 0.000], [2.208, 3.824, 0.000], [2.208, 1.275, 3.606]], "species": ["Ru", "Os", "Sn", "Cr"], "fractional_positions": [[0.500, 0.500, 0.500], [0.000, 0.000, 0.000], [0.750, 0.750, 0.750], [0.250, 0.250, 0.250]]}

No. 4
{"formula": "TiCrOsRu", "functional": "PBE", "state": "optimized geometry", "ef_ev_per_fu": -0.90, "space_group": "F-43m (216)", "dos_at_fermi_per_ev_fu": 5.37, "cell": [[4.304, 0.000, 0.000], [2.152, 3.727, 0.000], [2.152, 1.242, 3.514]], "species": ["Ru", "Ti", "Os", "Cr"], "fractional_positions": [[0.250, 0.250, 0.250], [0.500, 0.500, 0.500], [0.750, 0.750, 0.750], [0.000, 0.000, 0.000]]}

No. 5
{"formula": "CrOs2S", "functional": "PBE", "state": "optimized geometry", "space_group": "I-42d (122)", "e_form_raw_ev_per_atom": 0.718, "dos_at_fermi_per_ev_fu": 2.74, "cell": [[-0.315, 1.540, -5.074], [-5.297, -0.331, 0.228], [-3.050, 5.547, -0.908]], "species": ["Cr", "Cr", "S", "S", "Os", "Os", "Os", "Os"], "fractional_positions": [[0.000, 0.000, 0.000], [0.750, 0.250, 0.500], [0.500, 0.500, 0.000], [0.250, 0.750, 0.500], [0.616, 0.125, 0.250], [0.134, 0.625, 0.250], [0.375, 0.384, 0.750], [0.875, 0.866, 0.750]]}

No. 6
{"formula": "CrSbOs2", "functional": "PBE", "state": "optimized geometry", "space_group": "P2/m (10)", "e_form_raw_ev_per_atom": 0.630, "dos_at_fermi_per_ev_fu": 4.33, "cell": [[-1.466, -0.366, 4.300], [-1.076, -2.615, -0.589], [4.219, -2.064, 1.263]], "species": ["Cr", "Os", "Os", "Sb"], "fractional_positions": [[0.500, 0.750, 0.750], [0.000, 0.022, 0.979], [0.000, 0.478, 0.521], [0.500, 0.250, 0.250]]}

No. 7
{"formula": "CrSbOs2", "functional": "PBE", "state": "optimized geometry", "space_group": "I4/mmm (139)", "e_form_raw_ev_per_atom": 0.354, "dos_at_fermi_per_ev_fu": 2.57, "cell": [[4.656, -0.009, 0.000], [1.046, 4.537, 0.000], [-2.851, -2.264, 2.902]], "species": ["Cr", "Os", "Os", "Sb"], "fractional_positions": [[0.750, 0.250, 0.500], [0.000, 0.000, 0.000], [0.500, 0.500, 0.000], [0.250, 0.750, 0.500]]}

No. 8
{"formula": "CrSbOs2", "functional": "PBE", "state": "optimized geometry", "space_group": "Amm2 (38)", "e_form_raw_ev_per_atom": 0.464, "dos_at_fermi_per_ev_fu": 3.47, "cell": [[-3.432, -0.431, 1.988], [1.338, -1.587, 1.966], [1.810, 3.849, 3.958]], "species": ["Cr", "Os", "Os", "Sb"], "fractional_positions": [[0.500, 0.684, 0.756], [0.000, 0.056, 0.012], [0.500, 0.461, 0.202], [0.000, 0.298, 0.530]]}